No. 1
The following is a DFT calculation (GGA-PBE) of Re2Ru3Rh4 after structural relaxation.

a b c (Å): 4.762 8.460 7.001
angles (deg): 71.57 89.97 73.85
Atoms (fractional coordinates):
1 Ru 0.219 0.388 0.641
2 Ru 0.113 0.941 0.692
3 Ru 0.444 0.279 0.031
4 Ru 0.887 0.059 0.308
5 Ru 0.556 0.721 0.969
6 Ru 0.781 0.612 0.359
7 Rh 0.448 0.940 0.198
8 Rh 0.221 0.718 0.476
9 Rh 0.667 0.500 0.749
10 Rh 0.779 0.282 0.524
11 Rh 0.552 0.060 0.802
12 Rh 0.000 0.166 0.920
13 Rh 0.333 0.500 0.251
14 Rh 0.000 0.834 0.080
15 Re 0.668 0.836 0.585
16 Re 0.332 0.164 0.415
17 Re 0.887 0.389 0.137
18 Re 0.113 0.611 0.863

**Total moment**: 0.0 μB/f.u.
**Formation enthalpy at 0 K**: -1.4 kcal/mol of atoms
**Raw total energy**: -9.188 eV per atom

No. 2
The following is a DFT calculation (GGA-PBE) of ReRuRh after structural relaxation.

a b c (Å): 2.734 2.734 6.682
angles (deg): 90.00 90.00 120.00
Atoms (fractional coordinates):
1 Rh 0.667 0.333 0.331
2 Re 0.000 0.000 0.994
3 Ru 0.333 0.667 0.675

**Total moment**: 0.0 μB/f.u.
**Formation enthalpy at 0 K**: -0.2 kcal/mol of atoms
**Energy above the most stable polymorph in this dataset**: 0.120 eV/atom
**Raw total energy**: -9.699 eV per atom

No. 3
The following is a DFT calculation (GGA-PBE) of ReRuRh after structural relaxation.

a b c (Å): 4.717 4.737 4.679
angles (deg): 80.85 108.63 119.86
Atoms (fractional coordinates):
1 Ru 0.127 0.501 0.832
2 Ru 0.615 0.478 0.332
3 Re 0.457 0.162 0.832
4 Re 0.285 0.817 0.332
5 Rh 0.788 0.823 0.832
6 Rh 0.954 0.157 0.332

**Total moment**: 0.0 μB/f.u.
**Formation enthalpy at 0 K**: -0.5 kcal/mol of atoms
**Energy above the most stable polymorph in this dataset**: 0.107 eV/atom
**Raw total energy**: -9.713 eV per atom

No. 4
The following is a DFT calculation (GGA-PBE) of Re6RuRh after structural relaxation.

a b c (Å): 4.773 6.159 6.755
angles (deg): 43.07 61.79 75.13
Atoms (fractional coordinates):
1 Rh 0.500 0.500 0.500
2 Re 0.750 0.250 0.250
3 Re 0.374 0.126 0.126
4 Re 0.126 0.374 0.374
5 Re 0.250 0.750 0.750
6 Re 0.626 0.874 0.874
7 Re 0.874 0.626 0.626
8 Ru 0.000 0.000 0.000

**Total moment**: 0.0 μB/f.u.
**Formation enthalpy at 0 K**: 0.5 kcal/mol of atoms
**Raw total energy**: -11.394 eV per atom